Be2AgAu2 | PBE | optimized geometry

a b c (Å): 3.447 3.447 6.746
angles (deg): 75.20 75.20 90.00
Atoms (fractional coordinates):
Ag: 0.000 0.000 0.000
Be: 0.750 0.250 0.500
Au: 0.377 0.377 0.245
Be: 0.250 0.750 0.500
Au: 0.623 0.623 0.755

## Properties
The density of states at the Fermi level is 0.211 states/eV/atom. The space group is I4/mmm (139). The value obtained for the total energy is -3.45 eV/atom. As for the formation energy: -0.081 eV per atom. The value obtained for the excess energy over the best structure of this formula in the dataset is 39 meV per atom. The calculation puts the magnetization at 0.0 μB/cell.

=====

Be2Ag2Au | PBE | optimized geometry

a b c (Å): 6.380 6.380 3.437
angles (deg): 90.00 90.00 90.00
Atoms (fractional coordinates):
Ag: 0.841 0.341 0.500
Be: 0.629 0.129 0.000
Be: 0.371 0.871 0.000
Ag: 0.659 0.841 0.500
Au: 0.000 0.000 0.000
Ag: 0.159 0.659 0.500
Ag: 0.341 0.159 0.500
Be: 0.871 0.629 0.000
Be: 0.129 0.371 0.000
Au: 0.500 0.500 0.000

## Properties
The density of states at the Fermi level is 0.332 states/eV/atom. The space group is P4/mbm (127). The value obtained for the total energy is -3.22 eV/atom. As for the formation energy: 0.062 eV per atom. The calculation puts the magnetization at 0.0 μB/cell.

=====

Be2AgAu | PBE | optimized geometry

a b c (Å): 3.860 2.937 4.810
angles (deg): 72.00 90.00 90.00
Atoms (fractional coordinates):
Au: 0.500 0.774 0.828
Be: 0.500 0.056 0.263
Be: 0.000 0.198 0.980
Ag: 0.000 0.472 0.429

## Properties
The density of states at the Fermi level is 0.186 states/eV/atom. The space group is Pm (6). The value obtained for the total energy is -3.38 eV/atom. As for the formation energy: 0.014 eV per atom. The value obtained for the excess energy over the best structure of this formula in the dataset is 24 meV per atom. The calculation puts the magnetization at 0.0 μB/cell.

=====

Be2AgAu7 | PBE | optimized geometry

a b c (Å): 4.409 6.906 6.906
angles (deg): 114.43 90.00 90.00
Atoms (fractional coordinates):
Au: 0.500 0.500 0.500
Au: 0.500 0.065 0.320
Be: 0.500 0.699 0.301
Ag: 0.000 0.000 0.000
Au: 0.000 0.757 0.243
Au: 0.000 0.243 0.757
Be: 0.500 0.301 0.699
Au: 0.500 0.935 0.680
Au: 0.500 0.320 0.065
Au: 0.500 0.680 0.935

## Properties
The density of states at the Fermi level is 0.290 states/eV/atom. The space group is Cmmm (65). The value obtained for the total energy is -3.26 eV/atom. As for the formation energy: 0.061 eV per atom. The value obtained for the excess energy over the best structure of this formula in the dataset is 139 meV per atom. The calculation puts the magnetization at 0.0 μB/cell.

=====

Be2AgAu | PBE | optimized geometry

a b c (Å): 4.038 4.038 8.452
angles (deg): 76.18 76.18 90.00
Atoms (fractional coordinates):
Au: 0.750 0.250 0.500
Be: 0.875 0.007 0.750
Ag: 0.250 0.750 0.500
Au: 0.000 0.000 0.000
Be: 0.993 0.625 0.250
Be: 0.757 0.125 0.250
Ag: 0.500 0.500 0.000
Be: 0.375 0.243 0.750

## Properties
The density of states at the Fermi level is 0.320 states/eV/atom. The space group is I-42d (122). The value obtained for the total energy is -3.00 eV/atom. As for the formation energy: 0.394 eV per atom. The value obtained for the excess energy over the best structure of this formula in the dataset is 403 meV per atom. The calculation puts the magnetization at 0.0 μB/cell.

=====

BeAgAu | PBE | optimized geometry

a b c (Å): 5.356 5.356 2.993
angles (deg): 73.78 73.78 32.44
Atoms (fractional coordinates):
Ag: 0.017 0.017 0.983
Au: 0.305 0.305 0.695
Be: 0.678 0.678 0.322

## Properties
The density of states at the Fermi level is 0.149 states/eV/atom. The space group is I4mm (107). The value obtained for the total energy is -3.32 eV/atom. As for the formation energy: -0.030 eV per atom. The value obtained for the excess energy over the best structure of this formula in the dataset is 24 meV per atom. The calculation puts the magnetization at 0.0 μB/cell.

=====

BeAgAu | PBE | optimized geometry

a b c (Å): 4.074 4.070 4.070
angles (deg): 59.96 59.97 59.97
Atoms (fractional coordinates):
Be: 0.000 0.000 0.000
Ag: 0.250 0.250 0.250
Au: 0.750 0.750 0.750

## Properties
The density of states at the Fermi level is 0.180 states/eV/atom. The space group is F-43m (216). The value obtained for the total energy is -3.23 eV/atom. As for the formation energy: 0.059 eV per atom. The value obtained for the excess energy over the best structure of this formula in the dataset is 114 meV per atom. The calculation puts the magnetization at 0.0 μB/cell.

=====

Be2AgAu | PBE | optimized geometry

a b c (Å): 4.179 4.179 4.179
angles (deg): 60.00 60.00 60.00
Atoms (fractional coordinates):
Ag: 0.000 0.000 0.000
Be: 0.250 0.250 0.250
Au: 0.500 0.500 0.500
Be: 0.750 0.750 0.750

## Properties
The density of states at the Fermi level is 0.253 states/eV/atom. The space group is Fm-3m (225). The value obtained for the total energy is -3.41 eV/atom. As for the formation energy: -0.010 eV per atom. The value obtained for the excess energy over the best structure of this formula in the dataset is 0 meV per atom. The calculation puts the magnetization at 0.0 μB/cell.

=====

BeAgAu | PBE | optimized geometry

a b c (Å): 2.864 3.830 8.266
angles (deg): 90.00 78.81 90.00
Atoms (fractional coordinates):
Au: 0.094 0.750 0.327
Be: 0.452 0.750 0.584
Be: 0.548 0.250 0.416
Au: 0.906 0.250 0.673
Ag: 0.302 0.750 0.897
Ag: 0.698 0.250 0.103

## Properties
The density of states at the Fermi level is 0.399 states/eV/atom. The space group is P2_1/m (11). The value obtained for the total energy is -3.34 eV/atom. As for the formation energy: -0.055 eV per atom. The value obtained for the excess energy over the best structure of this formula in the dataset is 0 meV per atom. The calculation puts the magnetization at 0.0 μB/cell.

=====

BeAg2Au2 | PBE | optimized geometry

a b c (Å): 2.914 2.914 9.645
angles (deg): 98.69 98.69 90.00
Atoms (fractional coordinates):
Ag: 0.194 0.194 0.388
Ag: 0.806 0.806 0.612
Be: 0.000 0.000 0.000
Au: 0.578 0.578 0.156
Au: 0.422 0.422 0.844

## Properties
The density of states at the Fermi level is 0.338 states/eV/atom. The space group is I4/mmm (139). The value obtained for the total energy is -3.28 eV/atom. As for the formation energy: -0.088 eV per atom. The value obtained for the excess energy over the best structure of this formula in the dataset is 0 meV per atom. The calculation puts the magnetization at 0.0 μB/cell.

=====

Be5AgAu4 | PBE | optimized geometry

a b c (Å): 2.986 2.985 14.634
angles (deg): 90.00 90.00 90.00
Atoms (fractional coordinates):
Be: 0.500 0.500 0.104
Be: 0.500 0.500 0.896
Ag: 0.000 0.000 0.000
Au: 0.000 0.000 0.801
Au: 0.000 0.000 0.400
Be: 0.500 0.500 0.500
Be: 0.500 0.500 0.300
Au: 0.000 0.000 0.199
Au: 0.000 0.000 0.600
Be: 0.500 0.500 0.700

## Properties
The density of states at the Fermi level is 0.130 states/eV/atom. The space group is P4/mmm (123). The value obtained for the total energy is -3.53 eV/atom. As for the formation energy: -0.072 eV per atom. The calculation puts the magnetization at 0.0 μB/cell.

=====

BeAgAu6 | PBE | optimized geometry

a b c (Å): 7.212 6.999 4.827
angles (deg): 60.84 52.65 47.82
Atoms (fractional coordinates):
Ag: 0.500 0.500 0.500
Au: 0.192 0.064 0.367
Au: 0.530 0.231 0.173
Au: 0.808 0.936 0.633
Au: 0.470 0.769 0.827
Au: 0.986 0.629 0.172
Be: 0.000 0.000 0.000
Au: 0.014 0.371 0.828

## Properties
The density of states at the Fermi level is 0.275 states/eV/atom. The space group is P-1 (2). The value obtained for the total energy is -3.28 eV/atom. As for the formation energy: 0.001 eV per atom. The calculation puts the magnetization at 0.0 μB/cell.

=====

Be2AgAu4 | PBE | optimized geometry

a b c (Å): 4.492 4.492 12.623
angles (deg): 90.00 90.00 120.12
Atoms (fractional coordinates):
Au: 0.833 0.167 0.379
Au: 0.167 0.833 0.621
Be: 0.834 0.166 0.939
Au: 0.167 0.833 0.250
Au: 0.833 0.167 0.750
Au: 0.500 0.500 0.000
Be: 0.166 0.834 0.439
Be: 0.166 0.834 0.061
Ag: 0.500 0.500 0.750
Ag: 0.500 0.500 0.250
Au: 0.833 0.167 0.121
Be: 0.834 0.166 0.561
Au: 0.500 0.500 0.500
Au: 0.167 0.833 0.879

## Properties
The density of states at the Fermi level is 0.157 states/eV/atom. The space group is Cmcm (63). The value obtained for the total energy is -3.34 eV/atom. As for the formation energy: 0.009 eV per atom. The calculation puts the magnetization at 0.0 μB/cell.